(1)
The following is a DFT calculation (PBE) of a geometry-optimized TaCd2Pt structure.

Total moment: 0.00 μB per formula unit
Energy of formation from the pure elements: 0.13 eV/atom
Symmetry: No. 65
DOS(E_F): 2.56 states/eV per cell
Excess energy over the best structure of this formula in the dataset: 1.22 eV/f.u.
V: 74.73 Å³ per cell
ρ: 13.4 Mg/m³

```
4
Lattice="2.797 -4.711 0.000 2.797 4.711 0.000 0.000 0.000 2.835" Properties=species:S:1:pos:R:3 pbc="T T T"
Ta 0.000 0.000 0.000
Cd 1.399 2.356 1.418
Cd 1.399 -2.356 1.418
Pt 2.797 0.000 0.000
```

***

(2)
The following is a DFT calculation (PBE) of a geometry-optimized TaCd2Pt structure.

Total moment: 0.00 μB per formula unit
Energy of formation from the pure elements: 0.06 eV/atom
Symmetry: No. 44
DOS(E_F): 2.36 states/eV per cell
Excess energy over the best structure of this formula in the dataset: 0.94 eV/f.u.
V: 78.05 Å³ per cell
ρ: 12.8 Mg/m³

```
4
Lattice="-1.431 2.548 5.350 1.431 -2.548 5.350 1.431 2.548 -5.350" Properties=species:S:1:pos:R:3 pbc="T T T"
Ta 0.000 0.000 0.000
Cd 1.431 0.000 2.759
Cd 0.000 0.000 5.837
Pt 0.000 2.548 3.109
```

***

(3)
The following is a DFT calculation (PBE) of a geometry-optimized TaCd2Pt structure.

Total moment: 0.00 μB per formula unit
Energy of formation from the pure elements: 0.05 eV/atom
Symmetry: No. 47
DOS(E_F): 2.71 states/eV per cell
Excess energy over the best structure of this formula in the dataset: 0.92 eV/f.u.
V: 74.24 Å³ per cell
ρ: 13.4 Mg/m³

```
4
Lattice="2.936 0.000 0.000 0.000 4.956 0.000 0.000 0.000 5.103" Properties=species:S:1:pos:R:3 pbc="T T T"
Ta 0.000 0.000 0.000
Cd 0.000 2.478 2.551
Cd 1.468 0.000 2.551
Pt 1.468 2.478 0.000
```

***

(4)
The following is a DFT calculation (PBE) of a geometry-optimized TaCdPt2 structure.

Total moment: 0.00 μB per formula unit
Energy of formation from the pure elements: -0.24 eV/atom
Symmetry: No. 99
DOS(E_F): 2.42 states/eV per cell
V: 70.95 Å³ per cell
ρ: 16.0 Mg/m³

```
4
Lattice="3.505 0.000 0.000 0.000 3.505 0.000 0.000 0.000 5.777" Properties=species:S:1:pos:R:3 pbc="T T T"
Ta 0.000 0.000 0.000
Cd 1.752 1.752 1.830
Pt 0.000 0.000 3.116
Pt 1.752 1.752 4.731
```